Computed, not measured: a geometry-optimized TbGdHo2 structure at the PBE level of DFT.

Geometry as CIF:
```
data_TbGdHo2
_space_group_name_H-M_alt 'P 4/m m m'
_space_group_IT_number 123
_space_group_name_Hall '-P 4 2'
_cell_length_a 5.0159
_cell_length_b 5.0159
_cell_length_c 5.0067
_cell_angle_alpha 90.00
_cell_angle_beta 90.00
_cell_angle_gamma 90.00
loop_
_atom_site_label
_atom_site_fract_x
_atom_site_fract_y
_atom_site_fract_z
_atom_site_occupancy
Tb1 0.0000 0.0000 0.0000 1
Gd1 0.5000 0.5000 0.0000 1
Ho1 0.0000 0.5000 0.5000 1
```

Computed properties:
The energy relative to the lowest polymorph listed for this composition comes out at 0.000 eV/atom. For the theoretical density, the calculation gives 8.5 g cm⁻³. The calculation puts the energy of formation from the pure elements at 0.0194 eV/atom. The calculation puts the total magnetization at 7.1 μB per formula unit. The calculation puts the total energy at -27.79 eV/f.u.